Record 1
# Na5Tl2Zn

A relaxed structure of Na5Tl2Zn (PBE, Alexandria via LeMat-Bulk).

extended XYZ file:
```
16
Lattice="4.4903 0.0000 0.0000 0.0000 7.0909 0.0000 0.0000 0.0000 14.0682" Properties=species:S:1:pos:R:3 pbc="T T T"
Tl 2.2451 4.9966 12.5658
Tl 2.2451 1.4512 8.5366
Tl 2.2451 5.6397 5.5317
Tl 2.2451 2.0942 1.5024
Na 0.0000 3.7538 3.4618
Na 2.2451 5.3990 1.7190
Na 2.2451 5.2374 8.7531
Na 0.0000 3.3370 10.6065
Na 0.0000 3.5454 7.0341
Na 2.2451 1.8535 5.3152
Na 0.0000 6.8825 10.4959
Na 2.2451 1.6919 12.3493
Na 0.0000 0.2084 3.5724
Na 0.0000 0.0000 0.0000
Zn 0.0000 3.5454 0.0000
Zn 0.0000 0.0000 7.0341
```

Results
DFT total energy   -1.606 eV per atom
Volume   447.9 Å³ per cell

=====

Record 2
# CaNi4W

A relaxed structure of CaNi4W (PBE, Alexandria via LeMat-Bulk).

extended XYZ file:
```
6
Lattice="1.0296 3.0525 3.6681 -3.3626 3.1860 1.5412 -2.1261 -0.6090 4.3523" Properties=species:S:1:pos:R:3 pbc="T T T"
Ni -2.7322 1.8125 5.7560
Ni -1.1636 3.6325 5.4159
Ni -1.6754 2.1152 3.5926
Ni -3.3468 3.6989 4.3587
W -3.3443 4.2222 7.1712
Ca 0.0000 0.0000 0.0000
```

Results
DFT total energy   -6.133 eV per atom
Volume   82.3 Å³ per cell

=====

Record 3
# V2RuPt8

A relaxed structure of V2RuPt8 (PBE, Alexandria via LeMat-Bulk).

extended XYZ file:
```
11
Lattice="0.1600 -2.3886 -3.0924 6.2513 0.4185 0.0002 -1.7545 -4.2660 5.6772" Properties=species:S:1:pos:R:3 pbc="T T T"
Pt 0.2326 -6.0318 2.1983
Pt 4.4241 -0.2043 0.3867
Pt 3.8563 -4.7339 1.3832
Pt 5.1671 -2.7961 -0.0458
Pt 0.8004 -1.5023 1.2018
Pt 2.5727 -2.0856 -0.7288
Pt 2.0840 -4.1506 3.3138
Pt -0.5104 -3.4401 2.6308
Ru 0.0800 -1.1943 -1.5462
V 1.3321 -4.0893 0.7547
V 3.3247 -2.1469 1.8303
```

Results
DFT total energy   -7.210 eV per atom
Volume   165.4 Å³ per cell

=====

Record 4
# Pm6Pd5Rh

A relaxed structure of Pm6Pd5Rh (PBE, Alexandria via LeMat-Bulk).

extended XYZ file:
```
12
Lattice="-2.4070 6.6302 -1.4986 -2.6161 3.0285 5.9840 4.3539 3.8608 4.2797" Properties=species:S:1:pos:R:3 pbc="T T T"
Pm 0.0571 8.8561 4.1789
Pm -3.7918 7.2733 3.4182
Pm -1.2314 2.3854 1.0672
Pm -0.7264 4.6634 4.5863
Pm -0.0495 7.0003 8.0297
Pm -0.6197 6.5192 0.7355
Pd -2.5116 4.8294 2.2427
Pd 0.5632 2.2898 3.4176
Pd 1.1745 4.5995 6.8461
Pd 1.2040 6.3693 3.0878
Pd -1.8733 7.1503 5.6774
Rh 0.0000 0.0000 0.0000
```

Results
Volume   306.3 Å³ per cell
Distance to the lowest polymorph of the same formula   1.05 eV per formula unit

=====

Record 5
# Hf2SiRu2

A relaxed structure of Hf2SiRu2 (PBE, Alexandria via LeMat-Bulk).

extended XYZ file:
```
10
Lattice="-4.6625 -2.8569 3.0039 4.0194 -2.0088 4.3282 -0.7166 3.6505 2.3598" Properties=species:S:1:pos:R:3 pbc="T T T"
Si -0.3215 -2.4329 3.6660
Si 0.0000 0.0000 0.0000
Ru 0.7599 -1.1265 1.9734
Ru -2.4238 -2.1289 2.5574
Ru 1.7807 -2.7369 4.7746
Ru -1.4030 -3.7393 5.3586
Hf -0.2131 -1.7628 6.7746
Hf 1.5371 -0.0439 4.6471
Hf -1.1465 0.5475 2.9172
Hf -2.8968 -1.1713 5.0447
```

Results
Volume   171.5 Å³ per cell
Uncorrected formation energy   -541 meV per atom

=====

Record 6
# Cs2RbZnP2

A relaxed structure of Cs2RbZnP2 (PBE, Alexandria via LeMat-Bulk).

extended XYZ file:
```
12
Lattice="8.0154 0.0000 0.0000 0.0000 7.2917 0.0000 -4.0077 -3.6459 7.4121" Properties=species:S:1:pos:R:3 pbc="T T T"
Zn 4.0077 5.4688 0.0000
Zn 4.0077 1.8229 0.0000
Rb 0.0000 1.8229 0.0000
Rb 0.0000 5.4688 0.0000
P 5.3181 0.0000 1.0521
P 2.6973 3.6459 1.0521
P -1.3104 3.6459 6.3600
P 1.3104 0.0000 6.3600
Cs 5.6967 3.6459 2.6249
Cs 2.3187 0.0000 2.6249
Cs 1.6890 3.6459 4.7872
Cs -1.6890 0.0000 4.7872
```

Results
DFT total energy   -2.666 eV per atom
Volume   433.2 Å³ per cell